The following is a DFT calculation (PBE+U) of a relaxed Ac2CoRuO8 crystal.

Summary:
Total moment (μB per cell): 3.0
DOS at the Fermi energy (states/eV/f.u.): 2.66
Uncorrected energy (eV/f.u.): -84.4
V (Å³/cell): 168.0
Symmetry: P-1, No. 2

Structure (POSCAR):
```
Ac2CoRuO8
1.0
-0.675 3.811 3.670
-1.298 -3.378 2.613
6.671 -0.299 2.487
O Ac Ru Co
8 2 1 1
direct
0.688 0.803 0.560 O
0.290 0.806 0.899 O
0.781 0.685 0.932 O
0.998 0.184 0.744 O
0.002 0.816 0.256 O
0.312 0.197 0.440 O
0.710 0.194 0.101 O
0.219 0.315 0.068 O
0.482 0.704 0.251 Ac
0.518 0.296 0.749 Ac
0.000 0.000 0.000 Ru
0.000 0.000 0.500 Co
```